[1]
Entry from Alexandria via LeMat-Bulk: a relaxed BaLaMgTaO6 crystal (PBEsol).

formation energy (no corrections) = -3.065 eV/atom
total magnetic moment = 0.00 μB per cell

Cell lengths 5.6766, 5.6766, 5.6766 Å; angles 60.00, 60.00, 60.00 degrees
Positions (direct):
O 0.7462 0.2538 0.2538
O 0.2538 0.2538 0.7462
Mg 0.0000 0.0000 0.0000
O 0.7462 0.7462 0.2538
La 0.7500 0.7500 0.7500
O 0.2538 0.7462 0.7462
Ba 0.2500 0.2500 0.2500
Ta 0.5000 0.5000 0.5000
O 0.2538 0.7462 0.2538
O 0.7462 0.2538 0.7462

***

[2]
Entry from Alexandria via LeMat-Bulk: a relaxed Ba2La2MgTi3O12 crystal (PBEsol).

formation energy (no corrections) = -3.197 eV/atom
total magnetic moment = 0.00 μB per cell

Cell lengths 5.6146, 5.6146, 9.5806 Å; angles 72.96, 72.96, 60.00 degrees
Positions (direct):
O 0.1092 0.6357 0.6194
La 0.8731 0.8731 0.3808
Ti 0.2477 0.2477 0.2568
O 0.8908 0.3643 0.3806
Ti 0.0000 0.0000 0.0000
O 0.1182 0.1182 0.1310
O 0.3643 0.3643 0.3806
O 0.8818 0.3674 0.8690
Ba 0.3759 0.3759 0.8723
O 0.3643 0.8908 0.3806
Ti 0.7523 0.7523 0.7432
O 0.8818 0.8818 0.8690
Ba 0.6241 0.6241 0.1277
O 0.6326 0.1182 0.1310
Mg 0.5000 0.5000 0.5000
O 0.6357 0.6357 0.6194
O 0.1182 0.6326 0.1310
O 0.6357 0.1092 0.6194
La 0.1269 0.1269 0.6192
O 0.3674 0.8818 0.8690

***

[3]
Entry from Alexandria via LeMat-Bulk: a relaxed BaLaMg2Tc crystal (PBEsol).

formation energy from the elements = 0.795 eV/atom
total magnetic moment = 0.00 μB per cell

Cell lengths 4.7737, 5.9808, 5.9808 Å; angles 90.00, 90.00, 90.00 degrees
Positions (direct):
Mg 0.0000 0.0000 0.5000
Ba 0.5000 0.5000 0.5000
Tc 0.5000 0.0000 0.0000
Mg 0.0000 0.5000 0.0000
La 0.0000 0.0000 0.0000

***

[4]
Entry from Alexandria via LeMat-Bulk: a relaxed BaLa2Mn crystal (PBEsol).

formation energy from the elements = 0.401 eV/atom
total magnetic moment = 1.92 μB per cell

Cell lengths 3.7112, 6.1582, 6.7095 Å; angles 117.32, 106.06, 90.00 degrees
Each line ends with the local moment (μB).
Positions (direct):
Ba 0.0000 0.5000 0.0000  -0.06
La 0.8108 0.8108 0.6216  -0.20
La 0.1892 0.1892 0.3784  -0.20
Mn 0.5000 0.0000 0.0000  2.77

***

[5]
Entry from Alexandria via LeMat-Bulk: a relaxed Ba2La2Mn4O11 crystal (PBEsol).

formation energy (no corrections) = -2.456 eV/atom
total magnetic moment = 16.03 μB per cell

Cell lengths 3.8781, 7.9897, 8.6765 Å; angles 117.41, 90.00, 90.00 degrees
Each line ends with the local moment (μB).
Positions (direct):
O 0.5000 0.1528 0.7832  0.06
O 0.0000 0.1172 0.2344  3.48
Mn 0.5000 0.8756 0.7511  0.04
O 0.0000 0.8828 0.7656  3.48
La 0.0000 0.2335 0.0000  0.12
O 0.5000 0.3696 0.2168  0.07
O 0.5000 0.8472 0.2168  0.06
O 0.5000 0.6304 0.7832  0.07
O 0.0000 0.4038 0.8077  0.07
O 0.5000 0.0000 0.0000  0.06
Mn 0.5000 0.3785 0.7569  0.01
Ba 0.0000 0.0000 0.5000  3.62
Mn 0.5000 0.1244 0.2489  0.04
La 0.0000 0.7665 0.0000  0.12
O 0.5000 0.7519 0.5038  0.06
O 0.0000 0.5962 0.1923  0.07
O 0.5000 0.2481 0.4962  0.06
Ba 0.0000 0.5000 0.5000  3.62
Mn 0.5000 0.6215 0.2431  0.01

***

[6]
Entry from Alexandria via LeMat-Bulk: a relaxed BaLaMnSbO6 crystal (PBEsol).

formation energy (no corrections) = -2.299 eV/atom
total magnetic moment = 5.00 μB per cell

Cell lengths 5.6990, 5.7678, 5.6990 Å; angles 60.39, 90.00, 119.61 degrees
Each line ends with the local moment (μB).
Positions (direct):
Sb 0.0000 0.0000 0.0000  0.08
O 0.2764 0.9573 0.2096  0.05
O 0.6809 0.9573 0.8331  0.05
La 0.2500 0.5000 0.2500  0.02
O 0.7566 0.5131 0.2434  0.05
Ba 0.7500 0.5000 0.7500  0.00
Mn 0.5000 0.0000 0.5000  4.33
O 0.8331 0.0427 0.2764  0.05
O 0.2096 0.0427 0.6809  0.05
O 0.2434 0.4869 0.7566  0.05

***

[7]
Entry from Alexandria via LeMat-Bulk: a relaxed Ba2LaMo crystal (PBEsol).

formation energy from the elements = 0.715 eV/atom
total magnetic moment = 0.00 μB per cell

Cell lengths 3.7360, 3.7360, 11.6307 Å; angles 80.76, 80.76, 60.00 degrees
Positions (direct):
La 0.5213 0.5213 0.4362
Mo 0.2418 0.2418 0.2745
Ba 0.7575 0.7575 0.7276
Ba 0.9794 0.9794 0.0617

***

[8]
Entry from Alexandria via LeMat-Bulk: a relaxed BaLaTaMo2 crystal (PBEsol).

formation energy from the elements = 2.412 eV/atom
total magnetic moment = 1.68 μB per cell

Cell lengths 5.0218, 5.0218, 5.1105 Å; angles 90.00, 90.00, 90.00 degrees
Each line ends with the local moment (μB).
Positions (direct):
Mo 0.5000 0.0000 0.0000  0.92
Mo 0.0000 0.5000 0.0000  0.92
Ba 0.0000 0.0000 0.0000  0.01
La 0.5000 0.5000 0.5000  0.03
Ta 0.0000 0.0000 0.5000  -0.30

***

[9]
Entry from Alexandria via LeMat-Bulk: a relaxed BaLa2TlMo crystal (PBEsol).

formation energy from the elements = 0.886 eV/atom
total magnetic moment = 2.56 μB per cell

Cell lengths 5.2787, 6.0156, 6.0156 Å; angles 90.00, 90.00, 90.00 degrees
Each line ends with the local moment (μB).
Positions (direct):
Tl 0.0000 0.0000 0.0000  -0.02
Mo 0.5000 0.0000 0.0000  2.30
Ba 0.5000 0.5000 0.5000  -0.02
La 0.0000 0.0000 0.5000  -0.05
La 0.0000 0.5000 0.0000  -0.05

***

[10]
Entry from Alexandria via LeMat-Bulk: a relaxed Ba2NaLaPd crystal (PBEsol).

formation energy from the elements = 0.180 eV/atom
total magnetic moment = 0.43 μB per cell

Cell lengths 5.6083, 6.0255, 6.0255 Å; angles 90.00, 90.00, 90.00 degrees
Each line ends with the local moment (μB).
Positions (direct):
Na 0.5000 0.0000 0.0000  0.00
La 0.5000 0.5000 0.5000  0.15
Ba 0.0000 0.5000 0.0000  0.02
Ba 0.0000 0.0000 0.5000  0.02
Pd 0.0000 0.0000 0.0000  0.01

***

[11]
Entry from Alexandria via LeMat-Bulk: a relaxed BaNa2LaTl crystal (PBEsol).

formation energy from the elements = 0.675 eV/atom
total magnetic moment = 0.27 μB per cell

Cell lengths 5.7891, 5.7891, 6.0834 Å; angles 90.00, 90.00, 90.00 degrees
Each line ends with the local moment (μB).
Positions (direct):
Tl 0.0000 0.0000 0.5000  0.00
Ba 0.0000 0.0000 0.0000  0.02
Na 0.5000 0.0000 0.0000  0.00
Na 0.0000 0.5000 0.0000  0.00
La 0.5000 0.5000 0.5000  0.13

***

[12]
Entry from Alexandria via LeMat-Bulk: a relaxed BaLaNb3 crystal (PBEsol).

formation energy from the elements = 1.603 eV/atom
total magnetic moment = 0.00 μB per cell

Cell lengths 5.0832, 5.0832, 5.0832 Å; angles 90.00, 90.00, 90.00 degrees
Positions (direct):
La 0.0000 0.0000 0.0000
Nb 0.5000 0.0000 0.0000
Nb 0.0000 0.0000 0.5000
Nb 0.0000 0.5000 0.0000
Ba 0.5000 0.5000 0.5000